1:
Density functional theory data (PBE) for a relaxed BaSbRhI2 crystal.

a = 6.6559 Å, b = 6.6559 Å, c = 6.9337 Å
α = 90.00°, β = 90.00°, γ = 90.00°
Closest atoms and distances in Å follow each position.
Sites, in units of the cell vectors:
Ba1 0.0000 0.0000 0.0000  4 I 3.33, 2 Sb 3.47
Sb1 0.0000 0.0000 0.5000  2 Ba 3.47
Rh1 0.5000 0.5000 0.5000  4 Sb 4.71, 8 I 4.81
I1 0.0000 0.5000 0.0000  2 Ba 3.33
I2 0.5000 0.0000 0.0000  2 Ba 3.33

Summary:
- Total moment: 0.80 μB/atom



2:
Density functional theory data (PBE) for a relaxed BaSbRhI2 crystal.

a = 5.6371 Å, b = 5.6371 Å, c = 5.1992 Å
α = 90.00°, β = 90.00°, γ = 90.00°
Closest atoms and distances in Å follow each position.
Sites, in units of the cell vectors:
Ba1 0.0000 0.0000 0.0000  8 I 3.83, 4 Sb 3.99
Sb1 0.5000 0.5000 0.0000  2 Rh 2.60
Rh1 0.5000 0.5000 0.5000  2 Sb 2.60, 4 I 2.82
I1 0.0000 0.5000 0.5000  2 Rh 2.82
I2 0.5000 0.0000 0.5000  2 Rh 2.82

Summary:
- Total moment: 0.00 μB/atom



Least stable: 1



1:
Density functional theory data (PBE) for a relaxed BaRuI2 crystal.

a = 5.6248 Å, b = 5.6248 Å, c = 5.6248 Å
α = 60.00°, β = 60.00°, γ = 60.00°
Closest atoms and distances in Å follow each position.
Sites, in units of the cell vectors:
Ba1 0.0000 0.0000 0.0000  8 I 3.44
Ru1 0.5000 0.5000 0.5000  8 I 3.44
I1 0.2500 0.2500 0.2500  4 Ba 3.44, 4 Ru 3.44
I2 0.7500 0.7500 0.7500  4 Ba 3.44, 4 Ru 3.44

Summary:
- Total moment: 0.51 μB/atom



2:
Density functional theory data (PBE) for a relaxed BaRuI2 crystal.

a = 9.0711 Å, b = 9.0711 Å, c = 9.0711 Å
α = 139.89°, β = 139.89°, γ = 58.03°
Closest atoms and distances in Å follow each position.
Sites, in units of the cell vectors:
Ba1 0.0000 0.0000 0.0000  4 I 3.34
Ba2 0.7500 0.2500 0.5000  4 I 3.34
Ru1 0.2500 0.7500 0.5000  4 I 2.68
Ru2 0.5000 0.5000 0.0000  4 I 2.68
I1 0.2281 0.6250 0.1031  2 Ru 2.68
I2 0.3750 0.4781 0.6031  2 Ru 2.68
I3 0.5219 0.1250 0.8969  2 Ru 2.68
I4 0.8750 0.7719 0.3969  2 Ru 2.68

Summary:
- Total moment: 0.00 μB/atom



Least stable: 1



1:
Density functional theory data (PBE) for a relaxed BaRu2I crystal.

a = 6.5179 Å, b = 6.5179 Å, c = 6.5179 Å
α = 105.89°, β = 105.89°, γ = 116.90°
Closest atoms and distances in Å follow each position.
Sites, in units of the cell vectors:
Ba1 0.0000 0.0000 0.0000  8 Ru 3.40-3.47, 2 I 3.41
Ba2 0.7500 0.2500 0.5000  8 Ru 3.40-3.47, 2 I 3.41
Ru1 0.2107 0.6250 0.0857  2 I 2.50
Ru2 0.3750 0.4607 0.5857  2 I 2.50
Ru3 0.5393 0.1250 0.9143  2 I 2.50
Ru4 0.8750 0.7893 0.4143  2 I 2.50
I1 0.2500 0.7500 0.5000  4 Ru 2.50
I2 0.5000 0.5000 0.0000  4 Ru 2.50

Summary:
- Total moment: 0.00 μB/atom



2:
Density functional theory data (PBE) for a relaxed BaRu2I crystal.

a = 4.9650 Å, b = 4.9650 Å, c = 4.9650 Å
α = 60.00°, β = 60.00°, γ = 60.00°
Closest atoms and distances in Å follow each position.
Sites, in units of the cell vectors:
Ba1 0.0000 0.0000 0.0000  8 Ru 3.04
Ru1 0.2500 0.2500 0.2500  4 Ba 3.04, 4 I 3.04
Ru2 0.7500 0.7500 0.7500  4 Ba 3.04, 4 I 3.04
I1 0.5000 0.5000 0.5000  8 Ru 3.04

Summary:
- Total moment: 0.22 μB/atom



Least stable: 2



1:
Density functional theory data (PBE) for a relaxed BaSI3 crystal.

a = 5.7544 Å, b = 5.7544 Å, c = 5.7544 Å
α = 90.00°, β = 90.00°, γ = 90.00°
Closest atoms and distances in Å follow each position.
Sites, in units of the cell vectors:
Ba1 0.0000 0.0000 0.0000  12 I 4.07
S1 0.5000 0.5000 0.5000  6 I 2.88
I1 0.0000 0.5000 0.5000  2 S 2.88
I2 0.5000 0.0000 0.5000  2 S 2.88
I3 0.5000 0.5000 0.0000  2 S 2.88

Summary:
- Total moment: 0.00 μB/atom



2:
Density functional theory data (PBE) for a relaxed BaSI3 crystal.

a = 6.7996 Å, b = 6.7996 Å, c = 6.7996 Å
α = 90.00°, β = 90.00°, γ = 90.00°
Closest atoms and distances in Å follow each position.
Sites, in units of the cell vectors:
Ba1 0.0000 0.0000 0.0000  6 I 3.40
S1 0.5000 0.5000 0.5000  12 I 4.81
I1 0.0000 0.0000 0.5000  2 Ba 3.40
I2 0.0000 0.5000 0.0000  2 Ba 3.40
I3 0.5000 0.0000 0.0000  2 Ba 3.40

Summary:
- Total moment: 0.60 μB/atom



Least stable: 2



1:
Density functional theory data (PBE) for a relaxed Ba2S2I crystal.

a = 8.8535 Å, b = 8.8535 Å, c = 4.0942 Å
α = 90.00°, β = 90.00°, γ = 90.00°
Closest atoms and distances in Å follow each position.
Sites, in units of the cell vectors:
Ba1 0.1594 0.3406 0.0000  6 S 3.21-3.37
Ba2 0.3406 0.8406 0.0000  6 S 3.21-3.37
Ba3 0.6594 0.1594 0.0000  6 S 3.21-3.37
Ba4 0.8406 0.6594 0.0000  6 S 3.21-3.37
S1 0.1432 0.6432 0.5000  6 Ba 3.21-3.37, 2 I 3.40, 1 S 3.59
S2 0.3568 0.1432 0.5000  6 Ba 3.21-3.37, 2 I 3.40, 1 S 3.59
S3 0.6432 0.8568 0.5000  6 Ba 3.21-3.37, 2 I 3.40, 1 S 3.59
S4 0.8568 0.3568 0.5000  6 Ba 3.21-3.37, 2 I 3.40, 1 S 3.59
I1 0.0000 0.0000 0.5000  4 S 3.40
I2 0.5000 0.5000 0.5000  4 S 3.40

Summary:
- Total moment: 0.00 μB/atom



2:
Density functional theory data (PBE) for a relaxed Ba2S2I crystal.

a = 9.3673 Å, b = 9.3673 Å, c = 9.0339 Å
α = 97.24°, β = 97.24°, γ = 29.47°
Closest atoms and distances in Å follow each position.
Sites, in units of the cell vectors:
Ba1 0.0244 0.2658 0.0935  4 S 3.08-3.15
Ba2 0.2658 0.0244 0.5935  4 S 3.08-3.15
Ba3 0.7342 0.9756 0.4065  4 S 3.08-3.15
Ba4 0.9756 0.7342 0.9065  4 S 3.08-3.15
S1 0.1960 0.4195 0.5953  1 S 2.85, 4 Ba 3.08-3.15
S2 0.4195 0.1960 0.0953  1 S 2.85, 4 Ba 3.08-3.15
S3 0.5805 0.8040 0.9047  1 S 2.85, 4 Ba 3.08-3.15
S4 0.8040 0.5805 0.4047  1 S 2.85, 4 Ba 3.08-3.15
I1 0.2481 0.7519 0.2500  4 Ba 3.60-3.84, 2 S 3.98
I2 0.7519 0.2481 0.7500  4 Ba 3.60-3.84, 2 S 3.98

Summary:
- Total moment: 0.20 μB/atom



Least stable: 1



1:
Density functional theory data (PBE) for a relaxed BaSI crystal.

a = 5.0060 Å, b = 5.0060 Å, c = 11.5368 Å
α = 93.80°, β = 93.80°, γ = 66.82°
Closest atoms and distances in Å follow each position.
Sites, in units of the cell vectors:
Ba1 0.2121 0.2121 0.3223  4 S 3.21-3.29, 3 I 3.47-3.54
Ba2 0.7879 0.7879 0.6777  4 S 3.21-3.29, 3 I 3.47-3.54
S1 0.3082 0.6918 0.5000  1 S 2.11
S2 0.6918 0.3082 0.5000  1 S 2.11
I1 0.1704 0.1704 0.8334  3 Ba 3.47-3.54
I2 0.8296 0.8296 0.1666  3 Ba 3.47-3.54

Summary:
- Total moment: 0.00 μB/atom



2:
Density functional theory data (PBE) for a relaxed BaSI crystal.

a = 8.6112 Å, b = 4.3664 Å, c = 6.1359 Å
α = 90.00°, β = 90.00°, γ = 90.00°
Closest atoms and distances in Å follow each position.
Sites, in units of the cell vectors:
Ba1 0.0000 0.0000 0.0000  4 S 3.19
Ba2 0.5000 0.0000 0.0000  4 S 3.19
S1 0.2500 0.5000 0.1414  2 I 3.03-3.10, 4 Ba 3.19
S2 0.7500 0.5000 0.8586  2 I 3.03-3.10, 4 Ba 3.19
I1 0.2500 0.5000 0.6356  2 S 3.03-3.10
I2 0.7500 0.5000 0.3644  2 S 3.03-3.10

Summary:
- Total moment: 0.00 μB/atom



3:
Density functional theory data (PBE) for a relaxed BaSI crystal.

a = 5.9727 Å, b = 5.9727 Å, c = 6.2843 Å
α = 90.00°, β = 90.00°, γ = 119.89°
Closest atoms and distances in Å follow each position.
Sites, in units of the cell vectors:
Ba1 0.1668 0.8332 0.7500  5 S 3.14-3.45
Ba2 0.8332 0.1668 0.2500  5 S 3.14-3.45
S1 0.1664 0.8336 0.2500  5 Ba 3.14-3.45
S2 0.8336 0.1664 0.7500  5 Ba 3.14-3.45
I1 0.5000 0.5000 0.0000  2 I 3.14
I2 0.5000 0.5000 0.5000  2 I 3.14

Summary:
- Total moment: 0.06 μB/atom



Least stable: 3